Run A
Below is a relaxed structure of KRbCd2Rh, with properties calculated at the PBE level.

a b c (Å): 5.358 5.358 6.015
angles (deg): 90.00 90.00 90.00
Space group P4/mmm (No. 123)
Asymmetric unit:
1 K 0.000 0.000 0.000
2 Rb 0.500 0.500 0.000
3 Cd 0.000 0.500 0.500
4 Rh 0.500 0.500 0.500

Properties
**Theoretical density**: 4.35 g/cm3

Run B
Below is a relaxed structure of KRbCd2Rh, with properties calculated at the PBE level.

a b c (Å): 5.355 5.355 5.906
angles (deg): 90.00 90.00 90.00
Space group P4/mmm (No. 123)
Asymmetric unit:
1 K 0.000 0.000 0.000
2 Rb 0.500 0.500 0.000
3 Cd 0.000 0.500 0.500
4 Rh 0.000 0.000 0.500

Properties
**Theoretical density**: 4.43 g/cm3

Result of the stability comparison: run B is the most stable of them.

Run A
Below is a relaxed structure of KRb2ZnCd, with properties calculated at the PBE level.

a b c (Å): 7.295 7.295 5.218
angles (deg): 90.00 90.00 90.00
Space group P4/mmm (No. 123)
Asymmetric unit:
1 K 0.000 0.000 0.000
2 Rb 0.000 0.500 0.500
3 Zn 0.500 0.500 0.000
4 Cd 0.500 0.500 0.500

Properties
**Theoretical density**: 2.32 g/cm3

Run B
Below is a relaxed structure of KRb2ZnCd, with properties calculated at the PBE level.

a b c (Å): 7.119 7.119 5.233
angles (deg): 90.00 90.00 90.00
Space group P4/mmm (No. 123)
Asymmetric unit:
1 K 0.000 0.000 0.000
2 Rb 0.000 0.500 0.500
3 Zn 0.500 0.500 0.500
4 Cd 0.500 0.500 0.000

Properties
**Theoretical density**: 2.43 g/cm3

Result of the stability comparison: run B is the most stable of them.

Run A
Below is a relaxed structure of K2RbZnCd, with properties calculated at the PBE level.

a b c (Å): 6.956 6.956 5.224
angles (deg): 90.00 90.00 90.00
Space group P4/mmm (No. 123)
Asymmetric unit:
1 K 0.000 0.500 0.000
2 Rb 0.000 0.000 0.500
3 Zn 0.500 0.500 0.500
4 Cd 0.500 0.500 0.000

Properties
**Theoretical density**: 2.24 g/cm3

Run B
Below is a relaxed structure of K2RbZnCd, with properties calculated at the PBE level.

a b c (Å): 6.801 6.801 5.234
angles (deg): 90.00 90.00 90.00
Space group P4/mmm (No. 123)
Asymmetric unit:
1 K 0.000 0.500 0.000
2 Rb 0.000 0.000 0.500
3 Zn 0.500 0.500 0.000
4 Cd 0.500 0.500 0.500

Properties
**Theoretical density**: 2.34 g/cm3

Result of the stability comparison: run B is the most stable of them.

Run A
Below is a relaxed structure of KCdRe, with properties calculated at the PBE level.

a b c (Å): 3.115 6.886 8.180
angles (deg): 89.88 89.98 76.96
Space group P1 (No. 1)
Asymmetric unit:
1 K 0.000 0.000 0.000
2 K 0.404 0.218 0.500
3 Cd 0.146 0.731 0.362
4 Cd 0.662 0.696 0.667
5 Re 0.271 0.481 0.911
6 Re 0.760 0.502 0.125

Properties
**Theoretical density**: 6.56 g/cm3

Run B
Below is a relaxed structure of KCdRe, with properties calculated at the PBE level.

a b c (Å): 2.682 4.790 12.193
angles (deg): 90.00 90.00 90.00
Space group Imm2 (No. 44)
Asymmetric unit:
1 K 0.000 0.000 0.000
2 Cd 0.000 0.000 0.279
3 Re 0.000 0.000 0.718

Properties
**Theoretical density**: 7.16 g/cm3

Run C
Below is a relaxed structure of KCdRe, with properties calculated at the PBE level.

a b c (Å): 2.779 2.779 16.647
angles (deg): 90.00 90.00 90.00
Space group I4mm (No. 107)
Asymmetric unit:
1 K 0.000 0.000 0.000
2 Cd 0.000 0.000 0.310
3 Re 0.000 0.000 0.671

Properties
**Theoretical density**: 8.72 g/cm3

Run D
Below is a relaxed structure of KCdRe, with properties calculated at the PBE level.

a b c (Å): 3.138 6.791 8.730
angles (deg): 107.39 90.01 102.95
Space group P-1 (No. 2)
Asymmetric unit:
1 K 0.018 0.009 0.278
2 Cd 0.278 0.557 0.875
3 Re 0.274 0.550 0.418

Properties
**Theoretical density**: 6.50 g/cm3

Result of the stability comparison: run D is the most stable of them.

Run A
Below is a relaxed structure of KCd2Re, with properties calculated at the PBE level.

a b c (Å): 2.900 2.900 10.399
angles (deg): 90.00 90.00 90.00
Space group P4/mmm (No. 123)
Asymmetric unit:
1 K 0.000 0.000 0.000
2 Cd 0.500 0.500 0.290
3 Re 0.000 0.000 0.500

Properties
**Theoretical density**: 8.55 g/cm3

Run B
Below is a relaxed structure of KCd2Re, with properties calculated at the PBE level.

a b c (Å): 5.653 5.653 18.683
angles (deg): 90.00 90.00 90.00
Space group I-42d (No. 122)
Asymmetric unit:
1 K 0.000 0.000 0.000
2 Cd 0.006 0.250 0.625
3 Re 0.000 0.000 0.500

Properties
**Theoretical density**: 5.01 g/cm3

Result of the stability comparison: run A is the most stable of them.

Run A
Below is a relaxed structure of KCd2Re, with properties calculated at the PBE level.

a b c (Å): 3.699 3.699 8.165
angles (deg): 90.00 90.00 90.00
Space group P4mm (No. 99)
Asymmetric unit:
1 K 0.000 0.000 0.000
2 Cd 0.000 0.000 0.424
3 Cd 0.500 0.500 0.669
4 Re 0.500 0.500 0.325

Properties
**Theoretical density**: 6.69 g/cm3

Run B
Below is a relaxed structure of KCd2Re, with properties calculated at the PBE level.

a b c (Å): 4.278 4.278 9.650
angles (deg): 90.00 90.00 90.00
Space group I-4m2 (No. 119)
Asymmetric unit:
1 K 0.000 0.000 0.000
2 Cd 0.000 0.000 0.500
3 Cd 0.000 0.500 0.250
4 Re 0.000 0.500 0.750

Properties
**Theoretical density**: 8.47 g/cm3

Result of the stability comparison: run A is the most stable of them.